Entry 1:
VASP calculation (SCAN) on a PBEsol-optimized structure of Cr3GaSi.

It has space group Pm-3m (No. 221), with a = 4.316 Å, b = 4.316 Å, c = 4.316 Å, α = 90.00°, β = 90.00° and γ = 90.00°. The asymmetric unit holds Cr at (0.000, 0.000, 0.500), Ga at (0.500, 0.500, 0.500) and Si at (0.000, 0.000, 0.000).

The value obtained for the theoretical density is 5.2 g cm⁻³. The value obtained for the total DFT energy (no corrections) is -15.638 eV/atom. For the total moment, the calculation gives 8.12 μB/f.u. Its density of states at the Fermi level is 0.615 states/eV per atom. For the energy relative to the elements, uncorrected, the calculation gives 665 meV/atom.

Entry 2:
VASP calculation (SCAN) on a PBEsol-optimized structure of Li2NdIn.

It has space group Fm-3m (No. 225), with a = 6.906 Å, b = 6.906 Å, c = 6.906 Å, α = 90.00°, β = 90.00° and γ = 90.00°. The asymmetric unit holds Li at (0.250, 0.250, 0.250), Nd at (0.000, 0.000, 0.000) and In at (0.000, 0.000, 0.500).

The value obtained for the theoretical density is 5.5 g cm⁻³. The value obtained for the total DFT energy (no corrections) is -20.851 eV/atom. For the total moment, the calculation gives 0.00 μB/f.u. Its density of states at the Fermi level is 0.206 states/eV per atom. The value obtained for the formation energy is -0.41 eV per atom.

Entry 3:
VASP calculation (SCAN) on a PBEsol-optimized structure of RbAgO2.

It has space group Pmmm (No. 47), with a = 3.037 Å, b = 3.785 Å, c = 5.931 Å, α = 90.00°, β = 90.00° and γ = 90.00°. The asymmetric unit holds Rb at (0.000, 0.000, 0.000), Ag at (0.000, 0.500, 0.500) and O at (0.500, 0.500, 0.279).

The value obtained for the theoretical density is 5.5 g cm⁻³. The value obtained for the total DFT energy (no corrections) is -16.930 eV/atom. For the total moment, the calculation gives 0.00 μB/f.u. For the energy relative to the elements, uncorrected, the calculation gives -787 meV/atom.

Entry 4:
VASP calculation (SCAN) on a PBEsol-optimized structure of Be2InP.

It has space group Cmm2 (No. 35), with a = 4.016 Å, b = 4.204 Å, c = 7.107 Å, α = 90.00°, β = 90.00° and γ = 90.00°. The asymmetric unit holds Be at (0.000, 0.000, 0.000), Be at (0.000, 0.500, 0.157), In at (0.000, 0.000, 0.430) and P at (0.000, 0.500, 0.848).

The value obtained for the theoretical density is 4.5 g cm⁻³. For the energy above the lowest structure with this stoichiometry, the calculation gives 217 meV/atom. The value obtained for the total DFT energy (no corrections) is -12.751 eV/atom. For the total moment, the calculation gives 0.00 μB/f.u. Its density of states at the Fermi level is 0.384 states/eV per atom. The value obtained for the formation energy is 0.37 eV per atom.

Entry 5:
VASP calculation (SCAN) on a PBEsol-optimized structure of KLaTl2O.

It has space group P4/mmm (No. 123), with a = 5.238 Å, b = 5.238 Å, c = 4.759 Å, α = 90.00°, β = 90.00° and γ = 90.00°. The asymmetric unit holds K at (0.000, 0.000, 0.000), La at (0.500, 0.500, 0.000), Tl at (0.000, 0.500, 0.500) and O at (0.000, 0.000, 0.500).

The value obtained for the theoretical density is 7.7 g cm⁻³. The value obtained for the total DFT energy (no corrections) is -40.852 eV/atom. For the total moment, the calculation gives 0.00 μB/f.u. Its density of states at the Fermi level is 1.028 states/eV per atom. For the energy relative to the elements, uncorrected, the calculation gives -376 meV/atom.

Entry 6:
VASP calculation (SCAN) on a PBEsol-optimized structure of LiFe3Cu.

It has space group Pm-3m (No. 221), with a = 4.377 Å, b = 4.377 Å, c = 4.377 Å, α = 90.00°, β = 90.00° and γ = 90.00°. The asymmetric unit holds Li at (0.000, 0.000, 0.000), Fe at (0.000, 0.500, 0.500) and Cu at (0.500, 0.500, 0.500).

The value obtained for the theoretical density is 4.7 g cm⁻³. The value obtained for the total DFT energy (no corrections) is -13.390 eV/atom. For the total moment, the calculation gives 9.57 μB/f.u. Its density of states at the Fermi level is 0.683 states/eV per atom. The value obtained for the formation energy is 1.01 eV per atom.

Entry 7:
VASP calculation (SCAN) on a PBEsol-optimized structure of Li2CaCu.

It has space group I-42d (No. 122), with a = 4.040 Å, b = 4.040 Å, c = 20.540 Å, α = 90.00°, β = 90.00° and γ = 90.00°. The asymmetric unit holds Li at (0.194, 0.250, 0.125), Ca at (0.000, 0.000, 0.500) and Cu at (0.000, 0.000, 0.000).

The value obtained for the theoretical density is 2.3 g cm⁻³. For the energy above the lowest structure with this stoichiometry, the calculation gives 116 meV/atom. The value obtained for the total DFT energy (no corrections) is -7.280 eV/atom. For the total moment, the calculation gives 0.00 μB/f.u. Its density of states at the Fermi level is 0.440 states/eV per atom. The value obtained for the formation energy is 0.13 eV per atom.

Entry 8:
VASP calculation (SCAN) on a PBEsol-optimized structure of La3Cu.

It has space group Imm2 (No. 44), with a = 3.587 Å, b = 10.862 Å, c = 5.767 Å, α = 90.00°, β = 90.00° and γ = 90.00°. The asymmetric unit holds La at (0.000, 0.000, 0.000), La at (0.000, 0.204, 0.576) and Cu at (0.000, 0.500, 0.920).

The value obtained for the theoretical density is 7.1 g cm⁻³. The value obtained for the total DFT energy (no corrections) is -36.177 eV/atom. For the total moment, the calculation gives 0.00 μB/f.u. Its density of states at the Fermi level is 0.911 states/eV per atom. The value obtained for the formation energy is -0.05 eV per atom.